Here is crystalline Ba2LiMn at its relaxed geometry from Alexandria via LeMat-Bulk. Energies are from PBE-GGA.

offset from the most stable computed form	0	meV/atom
mass density	3.7	g cm⁻³
formation energy from the elements	345	meV/atom

```
Ba2LiMn
1.0
4.1999 0.0000 0.0000
0.0000 4.1999 0.0000
0.0000 0.0000 8.6141
Ba Li Mn
2 1 1
Direct
0.0000 0.0000 0.2281 Ba
0.0000 0.0000 0.7719 Ba
0.5000 0.5000 0.5000 Li
0.5000 0.5000 0.0000 Mn
```